# 1
Computed, not measured: an optimized crystal structure of VP2S2 at the GGA-PBE level of DFT.

a b c (Å): 4.4335 4.4335 4.3647
angles (deg): 90.00 90.00 90.00
With the nearest neighbours (Å) after each atom.
Fractional positions:
1 V 0.0000 0.0000 0.0000  8 S 3.11, 4 P 3.13
2 P 0.5000 0.5000 0.0000  2 P 2.18
3 P 0.5000 0.5000 0.5000  2 P 2.18, 4 S 2.22
4 S 0.0000 0.5000 0.5000  2 P 2.22
5 S 0.5000 0.0000 0.5000  2 P 2.22

* energy above the most stable polymorph in this dataset: 1.60 eV per formula unit
* formation energy (no corrections): 17.9 kcal/mol of atoms
* density of states at the Fermi level: 5.23 states/eV/cell

# 2
Computed, not measured: an optimized crystal structure of VP2S2 at the GGA-PBE level of DFT.

a b c (Å): 4.4185 4.4185 4.3576
angles (deg): 90.00 90.00 90.00
With the nearest neighbours (Å) after each atom.
Fractional positions:
1 V 0.0000 0.0000 0.0000  8 P 3.10, 4 S 3.12
2 P 0.0000 0.5000 0.5000  2 S 2.21
3 P 0.5000 0.0000 0.5000  2 S 2.21
4 S 0.5000 0.5000 0.0000  2 S 2.18
5 S 0.5000 0.5000 0.5000  2 S 2.18, 4 P 2.21

* energy above the most stable polymorph in this dataset: 2.80 eV per formula unit
* formation energy (no corrections): 23.4 kcal/mol of atoms
* density of states at the Fermi level: 7.46 states/eV/cell